Here is a geometry-optimized CaCdAg3 structure from Alexandria via LeMat-Bulk. Energies are from PBE.

POSCAR file:
```
CaCdAg3
1.0
5.5664 0.0000 0.0002
0.0000 6.3670 3.9635
-0.0002 1.5335 7.3416
Ca Cd Ag
2 2 6
direct
0.2505 0.8845 0.8841
0.7505 0.1155 0.1158
0.9999 0.4994 0.5007
0.4999 0.5006 0.4992
0.2495 0.3184 0.3180
0.7494 0.6816 0.6819
0.2497 0.8981 0.4031
0.7504 0.5974 0.1016
0.7497 0.1018 0.5968
0.2504 0.4025 0.8984
```

Results
- relative energy among the computed polymorphs (meV per atom) = 0
- total moment (μB per cell) = 0.0
- SG = No. 4
- energy relative to the elements (eV per formula unit) = -0.8
- density of states at the Fermi level (states/eV/cell) = 3.6
- calculated total energy (eV per formula unit) = -12.25



Here is a geometry-optimized CaCdAg4 structure from Alexandria via LeMat-Bulk. Energies are from PBE.

POSCAR file:
```
CaCdAg4
1.0
-3.7986 4.1621 0.0193
-4.8112 -0.5631 -2.8790
-4.8730 -0.6457 2.7550
Ag Ca Cd
4 1 1
direct
0.1243 0.6252 0.6252
0.6252 0.6252 0.6252
0.6252 0.1243 0.6252
0.6252 0.6252 0.1243
0.2500 0.2500 0.2500
0.0000 0.0000 0.0000
```

Results
- total moment (μB per cell) = 0.0
- SG = No. 216
- energy relative to the elements (eV per formula unit) = -1.1
- density of states at the Fermi level (states/eV/cell) = 4.2
- calculated total energy (eV per formula unit) = -15.42



Here is a geometry-optimized Ca2CdAg structure from Alexandria via LeMat-Bulk. Energies are from PBE.

POSCAR file:
```
Ca2CdAg
1.0
6.0661 -1.9453 -3.2273
-1.9502 6.0645 3.2273
-4.3280 0.2086 5.6764
Ca Cd Ag
2 1 1
direct
0.0000 0.2275 0.2275
0.0000 0.7725 0.7725
0.0000 0.5000 0.5000
0.0000 0.0000 0.0000
```

Results
- total moment (μB per cell) = 0.0
- SG = No. 71
- energy relative to the elements (eV per formula unit) = 1.4
- density of states at the Fermi level (states/eV/cell) = 2.8
- calculated total energy (eV per formula unit) = -6.38



Here is a geometry-optimized CaCdAg2 structure from Alexandria via LeMat-Bulk. Energies are from PBE.

POSCAR file:
```
CaCdAg2
1.0
-0.7878 -4.5376 0.1152
2.9172 -0.5607 -2.1350
4.6799 -0.7266 3.3842
Ca Ag Cd
1 2 1
direct
0.0000 0.4645 0.4422
0.0000 0.2012 0.9758
0.5000 0.0537 0.2675
0.5000 0.7806 0.8145
```

Results
- total moment (μB per cell) = 0.0
- SG = No. 6
- energy relative to the elements (eV per formula unit) = -0.7
- density of states at the Fermi level (states/eV/cell) = 1.6
- calculated total energy (eV per formula unit) = -9.34



Here is a geometry-optimized Ca3Cd7Ag4 structure from Alexandria via LeMat-Bulk. Energies are from PBE.

POSCAR file:
```
Ca3Cd7Ag4
1.0
4.5077 0.0000 1.1372
1.6870 8.0433 2.8155
0.0636 -0.0807 9.2504
Ca Cd Ag
3 7 4
direct
0.3018 0.1915 0.2049
0.6982 0.8085 0.7951
0.0000 0.5000 0.5000
0.3267 0.8301 0.5165
0.4926 0.2031 0.8117
0.8457 0.3841 0.9244
0.6733 0.1699 0.4835
0.1543 0.6159 0.0756
0.0000 0.0000 0.0000
0.5074 0.7969 0.1883
0.6596 0.4490 0.2318
0.3404 0.5510 0.7682
0.8809 0.9078 0.3304
0.1191 0.0922 0.6696
```

Results
- total moment (μB per cell) = 0.0
- SG = No. 12
- energy relative to the elements (eV per formula unit) = -3.5
- density of states at the Fermi level (states/eV/cell) = 6.6
- calculated total energy (eV per formula unit) = -27.29



Here is a geometry-optimized Ca2Cd5Ag structure from Alexandria via LeMat-Bulk. Energies are from PBE.

POSCAR file:
```
Ca2Cd5Ag
1.0
-4.0313 -1.6230 1.0470
2.6959 -5.1964 -7.2180
4.3650 -6.6855 6.4433
Ca Cd Ag
4 10 2
direct
0.8181 0.6361 0.7500
0.1819 0.3639 0.2500
0.0000 0.0000 0.0000
0.0000 0.0000 0.5000
0.2030 0.4060 0.8962
0.7970 0.5940 0.1038
0.2030 0.4060 0.6038
0.7970 0.5940 0.3962
0.3650 0.7300 0.9689
0.6350 0.2700 0.0311
0.3650 0.7300 0.5311
0.6350 0.2700 0.4689
0.6108 0.2216 0.7500
0.3892 0.7784 0.2500
0.4571 0.9142 0.7500
0.5429 0.0858 0.2500
```

Results
- total moment (μB per cell) = 0.0
- SG = No. 63
- energy relative to the elements (eV per formula unit) = -1.9
- density of states at the Fermi level (states/eV/cell) = 7.8
- calculated total energy (eV per formula unit) = -13.31